A geometry-optimized GdSeF structure. Source: Alexandria, functional PBE.

Values from the calculation:
Formation energy without anion corrections: -2.324 eV/atom
VASP energy: -26.409 eV per cell
Crystal system: tetragonal

a b c (Å): 5.2810 5.2810 5.2810
angles (deg): 141.16 141.16 56.10
Fractional positions:
Gd1 0.0000 0.0000 0.0000
Se1 0.3240 0.3240 0.0000
F1 0.6101 0.6101 0.0000



A geometry-optimized Gd2SiF structure. Source: Alexandria, functional PBE.

Values from the calculation:
Formation energy without anion corrections: -1.569 eV/atom
VASP energy: -41.733 eV per cell
Crystal system: trigonal

a b c (Å): 7.7177 7.7177 7.7177
angles (deg): 32.84 32.84 32.84
Fractional positions:
Gd1 0.1029 0.1029 0.1029
Gd2 0.8971 0.8971 0.8971
Si1 0.5000 0.5000 0.5000
F1 0.0000 0.0000 0.0000



A geometry-optimized SmGd2F structure. Source: Alexandria, functional PBE.

Values from the calculation:
Formation energy without anion corrections: -1.135 eV/atom
VASP energy: -39.293 eV per cell
Crystal system: trigonal

a b c (Å): 8.9350 8.9350 8.9350
angles (deg): 24.06 24.06 24.06
Fractional positions:
Sm1 0.0000 0.0000 0.0000
Gd1 0.2231 0.2231 0.2231
Gd2 0.7769 0.7769 0.7769
F1 0.5000 0.5000 0.5000



A geometry-optimized SmGd3F structure. Source: Alexandria, functional PBE.

Values from the calculation:
Formation energy without anion corrections: -0.928 eV/atom
VASP energy: -53.474 eV per cell
Crystal system: cubic

a b c (Å): 5.1201 5.1201 5.1201
angles (deg): 90.00 90.00 90.00
Fractional positions:
Sm1 0.0000 0.0000 0.0000
Gd1 0.0000 0.5000 0.5000
Gd2 0.5000 0.0000 0.5000
Gd3 0.5000 0.5000 0.0000
F1 0.5000 0.5000 0.5000



A geometry-optimized GdSnF7 structure. Source: Alexandria, functional PBE.

Values from the calculation:
Formation energy without anion corrections: -3.210 eV/atom
VASP energy: -240.298 eV per cell
Crystal system: monoclinic

a b c (Å): 9.1077 5.7225 12.2444
angles (deg): 90.00 117.67 90.00
Fractional positions:
Gd1 0.1876 0.2421 0.2655
Gd2 0.1876 0.2579 0.7655
Gd3 0.8124 0.7421 0.2345
Gd4 0.8124 0.7579 0.7345
Sn1 0.2729 0.7438 0.0432
Sn2 0.2729 0.7562 0.5432
Sn3 0.7271 0.2438 0.4568
Sn4 0.7271 0.2562 0.9568
F1 0.0262 0.7409 0.9466
F2 0.0262 0.7591 0.4466
F3 0.0291 0.5795 0.7335
F4 0.0291 0.9205 0.2335
F5 0.2555 0.5435 0.1715
F6 0.2555 0.9565 0.6715
F7 0.2700 0.0199 0.1423
F8 0.2700 0.4801 0.6423
F9 0.2822 0.0474 0.4547
F10 0.2822 0.4526 0.9547
F11 0.2923 0.5476 0.4197
F12 0.2923 0.9524 0.9197
F13 0.4810 0.2297 0.3592
F14 0.4810 0.2703 0.8592
F15 0.5190 0.7297 0.1408
F16 0.5190 0.7703 0.6408
F17 0.7077 0.0476 0.0803
F18 0.7077 0.4524 0.5803
F19 0.7178 0.5474 0.0453
F20 0.7178 0.9526 0.5453
F21 0.7300 0.5199 0.3577
F22 0.7300 0.9801 0.8577
F23 0.7445 0.0435 0.3285
F24 0.7445 0.4565 0.8285
F25 0.9709 0.0795 0.7665
F26 0.9709 0.4205 0.2665
F27 0.9738 0.2409 0.5534
F28 0.9738 0.2591 0.0534



A geometry-optimized Sr2GdF structure. Source: Alexandria, functional PBE.

Values from the calculation:
Formation energy without anion corrections: -0.968 eV/atom
VASP energy: -23.189 eV per cell
Crystal system: trigonal

a b c (Å): 10.7425 10.7425 10.7425
angles (deg): 20.38 20.38 20.38
Fractional positions:
Sr1 0.1128 0.1128 0.1128
Sr2 0.8872 0.8872 0.8872
Gd1 0.0000 0.0000 0.0000
F1 0.5000 0.5000 0.5000